An optimized crystal structure of KSi2Te2, computed with PBE-GGA.

Calculated values
ΔE to the lowest computed polymorph   0.0 meV per atom
E_form (uncorrected)   -0.10 eV per formula unit
DOS(E_F)   1.6 states/eV/f.u.
Crystal system   tetragonal

a b c (Å): 5.517 5.517 6.100
angles (deg): 63.11 63.11 90.00
Atoms (fractional coordinates):
Te: 0.750 0.250 0.500
Te: 0.250 0.750 0.500
Si: 0.356 0.356 0.287
Si: 0.644 0.644 0.713
K: 0.000 0.000 0.000

---

An optimized crystal structure of K4SiTe4, computed with PBE-GGA.

Calculated values
E_form (uncorrected)   -6.61 eV per formula unit
DOS(E_F)   0.0 states/eV/f.u.
Crystal system   tetragonal

a b c (Å): 8.909 8.909 8.909
angles (deg): 80.88 125.40 125.40
Atoms (fractional coordinates):
Te: 0.356 0.291 0.291
Te: 0.000 0.709 0.065
Te: 0.000 0.065 0.709
Te: 0.644 0.935 0.935
K: 0.000 0.688 0.688
K: 0.500 0.500 0.000
K: 0.000 0.312 0.312
K: 0.500 0.000 0.500
Si: 0.000 0.000 0.000

---

An optimized crystal structure of KSi2Te2, computed with PBE-GGA.

Calculated values
ΔE to the lowest computed polymorph   24.7 meV per atom
E_form (uncorrected)   0.03 eV per formula unit
DOS(E_F)   1.7 states/eV/f.u.
Crystal system   tetragonal

a b c (Å): 3.593 3.593 10.423
angles (deg): 80.07 80.07 90.00
Atoms (fractional coordinates):
Te: 0.625 0.625 0.749
Te: 0.375 0.375 0.251
Si: 0.250 0.750 0.500
Si: 0.750 0.250 0.500
K: 0.000 0.000 0.000

---

An optimized crystal structure of K3SiTe, computed with PBE-GGA.

Calculated values
ΔE to the lowest computed polymorph   0.0 meV per atom
E_form (uncorrected)   -0.20 eV per formula unit
DOS(E_F)   0.0 states/eV/f.u.
Crystal system   cubic

a b c (Å): 6.618 6.618 6.618
angles (deg): 90.00 90.00 90.00
Site moments in Bohr magnetons follow the coordinates.
Atoms (fractional coordinates):
K: 0.000 0.000 0.500  0.01
K: 0.500 0.000 0.000  0.01
K: 0.000 0.500 0.000  0.01
Te: 0.000 0.000 0.000  0.05
Si: 0.500 0.500 0.500  0.65

---

What did the first record say?
An optimized crystal structure of KSi2Te2, computed with PBE-GGA.

Calculated values
ΔE to the lowest computed polymorph   0.0 meV per atom
E_form (uncorrected)   -0.10 eV per formula unit
DOS(E_F)   1.6 states/eV/f.u.
Crystal system   tetragonal

a b c (Å): 5.517 5.517 6.100
angles (deg): 63.11 63.11 90.00
Atoms (fractional coordinates):
Te: 0.750 0.250 0.500
Te: 0.250 0.750 0.500
Si: 0.356 0.356 0.287
Si: 0.644 0.644 0.713
K: 0.000 0.000 0.000